[1]
Compound: Al2Os3W
Source: the Alexandria database
Functional: PBE
Structure: optimized geometry

Computed properties:
**Calculated total energy**: -55.9 eV/cell
**V**: 85.67 Å³/f.u.
**Energy of formation from the pure elements**: -171 kJ/mol of formula units
**DOS at the Fermi energy**: 3.8 states/eV/f.u.

```
6
Lattice="-0.532 1.053 -2.796 2.712 -1.023 -0.901 -3.846 -8.139 -2.335" Properties=species:S:1:pos:R:3 pbc="T T T"
Al -2.156 -6.855 -3.819
Al 0.491 -1.253 -2.213
Os 0.000 0.000 0.000
Os -2.590 -5.481 -1.572
Os -1.256 -2.658 -0.762
W -0.833 -4.054 -3.016
```

[2]
Compound: LaMn
Source: the Alexandria database
Functional: PBE
Structure: optimized geometry

Computed properties:
**Calculated total energy**: -26.7 eV/cell
**V**: 42.47 Å³/f.u.
**Energy of formation from the pure elements**: 74 kJ/mol of formula units
**DOS at the Fermi energy**: 2.7 states/eV/f.u.

```
4
Lattice="3.072 0.000 0.000 0.000 3.072 0.000 0.000 0.000 8.999" Properties=species:S:1:pos:R:3 pbc="T T T"
La 0.768 0.768 1.769
La 2.304 2.304 7.230
Mn 0.768 0.768 4.982
Mn 2.304 2.304 4.016
```

[3]
Compound: Hf2NiS4
Source: the Alexandria database
Functional: PBE
Structure: optimized geometry

Computed properties:
**Calculated total energy**: -51.1 eV/cell
**ΔE_f (raw)**: -122.3 kJ/mol of atoms
**V**: 126.35 Å³/f.u.
**DOS at the Fermi energy**: 1.4 states/eV/f.u.

```
7
Lattice="3.554 0.000 0.000 0.000 6.148 -0.053 -1.778 -3.101 5.809" Properties=species:S:1:pos:R:3 pbc="T T T"
Ni 0.000 0.000 0.000
S 0.000 1.968 1.335
S 1.777 1.079 4.420
S 0.000 -2.092 4.421
S 1.777 5.139 1.335
Hf -0.001 -0.002 2.973
Hf 1.777 3.049 2.782
```